# SrGaCoO4 (GGA+U, relaxed)
# Space group: No. 82
# Uncorrected energy, eV per cell: -42.4
# Volume, Å³ per cell: 101
data_SrGaCoO4
_cell_length_a 5.1114
_cell_length_b 5.1114
_cell_length_c 5.1114
_cell_angle_alpha 114.19
_cell_angle_beta 114.19
_cell_angle_gamma 100.40
_space_group_name_H-M_alt 'P 1'
_space_group_IT_number 1
loop_
_space_group_symop_operation_xyz
'x,y,z'
loop_
_atom_site_label
_atom_site_type_symbol
_atom_site_fract_x
_atom_site_fract_y
_atom_site_fract_z
Sr1 Sr 0.0000 0.0000 0.0000
Ga1 Ga 0.5000 0.5000 0.0000
Co1 Co 0.7500 0.2500 0.5000
O1 O 0.1069 0.1741 0.6144
O2 O 0.5075 0.8931 0.0671
O3 O 0.5597 0.4925 0.3856
O4 O 0.8259 0.4403 0.9329